(a)
LiNiOs2 after structural relaxation, computed with GGA-PBE.

Lattice parameters (Å, degrees): 2.743 4.436 8.900 90.00 90.00 90.00
Space group Cmmm (No. 65)
Symmetry-distinct sites (fractional):
Li 0.000 0.000 0.000 [2 per cell]
Ni 0.000 0.000 0.500 [2 per cell]
Os 0.000 0.500 0.260 [4 per cell]

Output
spin magnetization = 0.00 μB per atom



(b)
LiNiOs2 after structural relaxation, computed with GGA-PBE.

Lattice parameters (Å, degrees): 5.816 5.816 5.816 90.00 90.00 90.00
Space group Fm-3m (No. 225)
Symmetry-distinct sites (fractional):
Li 0.000 0.000 0.000 [4 per cell]
Ni 0.000 0.000 0.500 [4 per cell]
Os 0.250 0.250 0.250 [8 per cell]

Output
spin magnetization = 0.00 μB per atom



Which one is most stable, and which one is least stable? (a) is the most stable of them, while (b) is the least stable.



(a)
Li3NiOs after structural relaxation, computed with GGA-PBE.

Lattice parameters (Å, degrees): 4.615 4.615 4.615 90.00 90.00 90.00
Space group Pm-3m (No. 221)
Symmetry-distinct sites (fractional):
Li 0.000 0.000 0.500 [3 per cell]
Ni 0.500 0.500 0.500 [1 per cell]
Os 0.000 0.000 0.000 [1 per cell]

Output
spin magnetization = 0.41 μB per atom



(b)
Li3NiOs after structural relaxation, computed with GGA-PBE.

Lattice parameters (Å, degrees): 4.058 4.058 4.058 90.00 90.00 90.00
Space group Pm-3m (No. 221)
Symmetry-distinct sites (fractional):
Li 0.000 0.000 0.500 [3 per cell]
Ni 0.000 0.000 0.000 [1 per cell]
Os 0.500 0.500 0.500 [1 per cell]

Output
spin magnetization = 0.00 μB per atom



Which one is most stable, and which one is least stable? (b) is the most stable of them, while (a) is the least stable.



(a)
Li2NiP2 after structural relaxation, computed with GGA-PBE.

Lattice parameters (Å, degrees): 5.737 5.737 4.122 90.00 90.00 90.00
Space group P4/mbm (No. 127)
Symmetry-distinct sites (fractional):
Li 0.172 0.328 0.000 [4 per cell]
Ni 0.000 0.000 0.500 [2 per cell]
P 0.138 0.638 0.500 [4 per cell]

Output
spin magnetization = 0.00 μB per atom



(b)
Li2NiP2 after structural relaxation, computed with GGA-PBE.

Lattice parameters (Å, degrees): 3.7651 3.7651 5.6705 90.00 90.00 120.00
Space group P-3m1 (No. 164)
Symmetry-distinct sites (fractional):
Li 0.3333 0.6667 0.3544 [2 per cell]
Ni 0.0000 0.0000 0.0000 [1 per cell]
P 0.3333 0.6667 0.8317 [2 per cell]

Output
spin magnetization = 0.00 μB per atom



(c)
Li2NiP2 after structural relaxation, computed with GGA-PBE.

Lattice parameters (Å, degrees): 3.264 3.264 14.262 90.00 90.00 90.00
Space group I4/mmm (No. 139)
Symmetry-distinct sites (fractional):
Li 0.000 0.000 0.099 [4 per cell]
Ni 0.000 0.000 0.500 [2 per cell]
P 0.000 0.500 0.250 [4 per cell]

Output
spin magnetization = 0.09 μB per atom



Which one is most stable, and which one is least stable? (a) is the most stable of them, while (c) is the least stable.



(a)
LiNi3P after structural relaxation, computed with GGA-PBE.

Lattice parameters (Å, degrees): 3.889 3.889 3.889 90.00 90.00 90.00
Space group Pm-3m (No. 221)
Symmetry-distinct sites (fractional):
Li 0.000 0.000 0.000 [1 per cell]
Ni 0.000 0.000 0.500 [3 per cell]
P 0.500 0.500 0.500 [1 per cell]

Output
spin magnetization = 0.03 μB per atom



(b)
LiNi3P after structural relaxation, computed with GGA-PBE.

Lattice parameters (Å, degrees): 4.169 4.169 4.169 90.00 90.00 90.00
Space group Pm-3m (No. 221)
Symmetry-distinct sites (fractional):
Li 0.000 0.000 0.000 [1 per cell]
Ni 0.000 0.500 0.500 [3 per cell]
P 0.500 0.500 0.500 [1 per cell]

Output
spin magnetization = 0.00 μB per atom



Which one is most stable, and which one is least stable? (b) is the most stable of them, while (a) is the least stable.